# Cs5Hg4Au

Crystalline Cs5Hg4Au at its relaxed geometry (PBE, Alexandria).

Calculated values
Fermi-level density of states   6.02 states/eV/f.u.
E_form   -0.20 eV per atom
Symmetry   I4, No. 79
Crystal system   tetragonal

Cell: 6.9855 9.3593 9.3593 Å, 81.99 68.09 68.09°
Sites, in units of the cell vectors:
Cs1 0.2570 0.6118 0.8717
Cs2 0.1287 0.1283 0.6118
Cs3 0.8688 0.8717 0.3882
Cs4 0.7405 0.3882 0.1283
Cs5 0.5002 0.0000 0.0000
Hg1 0.8846 0.5518 0.6762
Hg2 0.5607 0.3238 0.5518
Hg3 0.4363 0.6762 0.4482
Hg4 0.1125 0.4482 0.3238
Au1 0.0004 0.0000 0.0000